Entry 1:
The following is a DFT calculation (PBE-GGA) of a relaxed structure of Zr2IrRu2.

a = 6.742 Å, b = 6.742 Å, c = 3.937 Å
α = 90.00°, β = 90.00°, γ = 90.00°
Fractional positions:
Zr 0.817 0.317 0.500
Zr 0.683 0.817 0.500
Zr 0.183 0.683 0.500
Zr 0.317 0.183 0.500
Ru 0.372 0.872 0.000
Ru 0.628 0.128 0.000
Ru 0.872 0.628 0.000
Ru 0.128 0.372 0.000
Ir 0.500 0.500 0.000
Ir 0.000 0.000 0.000

V, Å³/cell: 179.0
DFT total energy, eV per atom: -9.235

---

Entry 2:
The following is a DFT calculation (PBE-GGA) of a relaxed structure of Nd6GeS4.

a = 4.109 Å, b = 6.993 Å, c = 20.636 Å
α = 90.00°, β = 90.00°, γ = 107.09°
Fractional positions:
Nd 0.049 0.097 0.164
Nd 0.951 0.903 0.836
Nd 0.326 0.652 0.250
Nd 0.500 0.000 0.000
Nd 0.049 0.097 0.336
Nd 0.773 0.547 0.417
Nd 0.773 0.547 0.083
Nd 0.500 0.000 0.500
Nd 0.227 0.453 0.917
Nd 0.951 0.903 0.664
Nd 0.674 0.348 0.750
Nd 0.227 0.453 0.583
S 0.863 0.726 0.959
S 0.863 0.726 0.541
S 0.137 0.274 0.459
S 0.591 0.183 0.875
S 0.409 0.817 0.125
S 0.137 0.274 0.041
S 0.591 0.183 0.625
S 0.409 0.817 0.375
Ge 0.664 0.327 0.250
Ge 0.336 0.673 0.750

V, Å³/cell: 566.8
Formation energy from raw total energies, eV/atom: -1.64
DFT total energy, eV per atom: -6.164

---

Entry 3:
The following is a DFT calculation (PBE-GGA) of a relaxed structure of Tm2B7Rh12.

a = 3.939 Å, b = 8.808 Å, c = 8.808 Å
α = 120.00°, β = 90.00°, γ = 90.00°
Fractional positions:
Rh 0.747 0.900 0.752
Rh 0.751 0.379 0.932
Rh 0.747 0.852 0.100
Rh 0.751 0.553 0.621
Rh 0.249 0.447 0.379
Rh 0.249 0.932 0.553
Rh 0.751 0.068 0.447
Rh 0.253 0.148 0.900
Rh 0.253 0.100 0.248
Rh 0.747 0.248 0.148
Rh 0.249 0.621 0.068
Rh 0.253 0.752 0.852
B 0.245 0.404 0.111
B 0.245 0.707 0.596
B 0.755 0.293 0.404
B 0.245 0.889 0.293
B 0.500 0.000 0.000
B 0.755 0.596 0.889
B 0.755 0.111 0.707
Tm 0.253 0.333 0.667
Tm 0.747 0.667 0.333

V, Å³/cell: 264.6
DFT total energy, eV per atom: -7.325

---

Entry 4:
The following is a DFT calculation (PBE-GGA) of a relaxed structure of KTl3.

a = 7.320 Å, b = 7.320 Å, c = 17.082 Å
α = 90.00°, β = 90.00°, γ = 120.00°
Fractional positions:
Tl 0.031 0.515 0.500
Tl 0.340 0.170 0.831
Tl 0.170 0.340 0.669
Tl 0.515 0.031 0.000
Tl 0.170 0.830 0.331
Tl 0.969 0.485 0.000
Tl 0.830 0.660 0.169
Tl 0.340 0.170 0.169
Tl 0.660 0.830 0.331
Tl 0.170 0.830 0.669
Tl 0.830 0.170 0.169
Tl 0.485 0.515 0.500
Tl 0.485 0.969 0.500
Tl 0.515 0.485 0.000
Tl 0.830 0.170 0.831
Tl 0.830 0.660 0.831
Tl 0.660 0.830 0.669
Tl 0.170 0.340 0.331
K 0.667 0.333 0.657
K 0.667 0.333 0.343
K 0.000 0.000 0.000
K 0.000 0.000 0.500
K 0.333 0.667 0.157
K 0.333 0.667 0.843

V, Å³/cell: 792.8
DFT total energy, eV per atom: -2.084

---

Entry 5:
The following is a DFT calculation (PBE-GGA) of a relaxed structure of NbV2Cl.

a = 4.442 Å, b = 4.442 Å, c = 4.442 Å
α = 60.00°, β = 60.00°, γ = 60.00°
Fractional positions:
Cl 0.000 0.000 0.000
V 0.750 0.750 0.750
V 0.250 0.250 0.250
Nb 0.500 0.500 0.500

V, Å³/cell: 62.0
Energy relative to the lowest polymorph listed for this composition, eV/atom: 0.265
Formation energy from raw total energies, eV/atom: 0.76
DFT total energy, eV per atom: -6.782

---

Entry 6:
The following is a DFT calculation (PBE-GGA) of a relaxed structure of Sr2FeIr.

a = 6.352 Å, b = 6.352 Å, c = 4.968 Å
α = 66.97°, β = 66.97°, γ = 35.72°
Fractional positions:
Sr 0.761 0.761 0.739
Sr 0.981 0.981 0.019
Ir 0.192 0.192 0.308
Fe 0.566 0.566 0.434

V, Å³/cell: 106.7
DFT total energy, eV per atom: -5.005

---

no.,total magnetic moment (μB/f.u.)
1,0.0
2,0.5
3,0.0
4,0.0
5,1.9
6,3.3